a:
Below is an optimized crystal structure of SrHf3Nb, with properties calculated at the GGA-PBE level.

Space-group type: Pm-3m (221)
DOS(E_F): 9.96 states/eV/f.u.

Cell: 5.2415 5.2415 5.2415 Å, 90.00 90.00 90.00°
Fractional coordinates of all 5 atoms:
Sr 0.0000 0.0000 0.0000
Hf 0.0000 0.5000 0.5000
Hf 0.5000 0.0000 0.5000
Hf 0.5000 0.5000 0.0000
Nb 0.5000 0.5000 0.5000

=====

b:
Below is an optimized crystal structure of SrHf3Nb, with properties calculated at the GGA-PBE level.

Space-group type: Pm-3m (221)
DOS(E_F): 7.06 states/eV/f.u.

Cell: 4.9957 4.9957 4.9957 Å, 90.00 90.00 90.00°
Fractional coordinates of all 5 atoms:
Sr 0.0000 0.0000 0.0000
Hf 0.0000 0.0000 0.5000
Hf 0.0000 0.5000 0.0000
Hf 0.5000 0.0000 0.0000
Nb 0.5000 0.5000 0.5000

=====

On energetic grounds, a is preferred over the next structure by 1441 meV/atom.

=====

a:
Below is an optimized crystal structure of HfTa2Nb, with properties calculated at the GGA-PBE level.

Space-group type: P4/mmm (123)
DOS(E_F): 6.66 states/eV/f.u.

Cell: 4.7687 4.7687 3.3549 Å, 90.00 90.00 90.00°
Fractional coordinates of all 4 atoms:
Hf 0.0000 0.0000 0.0000
Ta 0.0000 0.5000 0.5000
Ta 0.5000 0.0000 0.5000
Nb 0.5000 0.5000 0.0000

=====

b:
Below is an optimized crystal structure of HfTa2Nb, with properties calculated at the GGA-PBE level.

Space-group type: I-42d (122)
DOS(E_F): 4.95 states/eV/f.u.

Cell: 6.0494 6.0494 6.0494 Å, 102.76 102.76 123.94°
Fractional coordinates of all 8 atoms:
Hf 0.0000 0.0000 0.0000
Hf 0.7500 0.2500 0.5000
Ta 0.1395 0.6250 0.0145
Ta 0.3750 0.3895 0.5145
Ta 0.6105 0.1250 0.9855
Ta 0.8750 0.8605 0.4855
Nb 0.2500 0.7500 0.5000
Nb 0.5000 0.5000 0.0000

=====

On energetic grounds, a is preferred over the next structure by 579 meV/atom.

=====

a:
Below is an optimized crystal structure of HfTa2Nb, with properties calculated at the GGA-PBE level.

Space-group type: R-3m (166)
DOS(E_F): 6.07 states/eV/f.u.

Cell: 9.2562 9.2562 9.2562 Å, 19.65 19.65 19.65°
Fractional coordinates of all 4 atoms:
Hf 0.0000 0.0000 0.0000
Ta 0.2443 0.2443 0.2443
Ta 0.7557 0.7557 0.7557
Nb 0.5000 0.5000 0.5000

=====

b:
Below is an optimized crystal structure of HfTa2Nb, with properties calculated at the GGA-PBE level.

Space-group type: P4/mmm (123)
DOS(E_F): 5.85 states/eV/f.u.

Cell: 3.3529 3.3529 6.8458 Å, 90.00 90.00 90.00°
Fractional coordinates of all 4 atoms:
Hf 0.0000 0.0000 0.0000
Ta 0.5000 0.5000 0.2725
Ta 0.5000 0.5000 0.7275
Nb 0.0000 0.0000 0.5000

=====

c:
Below is an optimized crystal structure of HfTa2Nb, with properties calculated at the GGA-PBE level.

Space-group type: Fm-3m (225)
DOS(E_F): 7.78 states/eV/f.u.

Cell: 4.7608 4.7608 4.7608 Å, 60.00 60.00 60.00°
Fractional coordinates of all 4 atoms:
Hf 0.0000 0.0000 0.0000
Ta 0.2500 0.2500 0.2500
Ta 0.7500 0.7500 0.7500
Nb 0.5000 0.5000 0.5000

=====

On energetic grounds, b is preferred over the next structure by 38 meV/atom.